Here is a relaxed Tm2Ag crystal from OQMD via LeMat-Bulk. Energies are from PBE.

Properties
As for the total moment: 0.02 μB/cell. The volume comes out at 160.8 Å³/cell. As for the space group: No. 227. The calculation puts the formation energy from the elements at 443 meV/atom.

Structure (CIF):
```
data_Tm2Ag
_chemical_formula_sum 'Tm4 Ag2'
_space_group_name_H-M_alt 'P 1'
_space_group_IT_number 1
_space_group_name_Hall 'P 1'
_cell_length_a 6.104
_cell_length_b 6.104
_cell_length_c 6.104
_cell_angle_alpha 60.00
_cell_angle_beta 60.00
_cell_angle_gamma 60.00
loop_
_atom_site_label
_atom_site_type_symbol
_atom_site_fract_x
_atom_site_fract_y
_atom_site_fract_z
Ag1 Ag 0.250 0.250 0.250
Ag2 Ag 0.000 0.000 0.000
Tm1 Tm 0.125 0.625 0.625
Tm2 Tm 0.625 0.625 0.125
Tm3 Tm 0.625 0.625 0.625
Tm4 Tm 0.625 0.125 0.625
```